Entry 1:
InGa2Pb: relaxed, GGA-PBE.

Unit cell a=4.5331 b=4.5331 c=17.8564 alpha=90.00 beta=90.00 gamma=120.00
Space group R3m (No. 160, hexagonal axes)
Unique sites:
In 0.0000 0.0000 0.0000 (multiplicity 3)
Ga 0.0000 0.0000 0.4027 (multiplicity 3)
Ga 0.0000 0.0000 0.5802 (multiplicity 3)
Pb 0.0000 0.0000 0.8188 (multiplicity 3)

Summary:
magnetic moment = 0.00 μB/cell
calculated total energy = -3.01 eV per atom
ΔE to the lowest computed polymorph = 76.7 meV per atom
calculated formation energy = 0.120 eV/atom
DOS(E_F) = 1.900 states/eV/f.u.


Entry 2:
NdMnTcP2: relaxed, GGA-PBE.

Unit cell a=4.015 b=4.015 c=10.244 alpha=90.00 beta=90.00 gamma=90.00
Space group I-4m2 (No. 119)
Unique sites:
Nd 0.000 0.000 0.000 (multiplicity 2)
Mn 0.000 0.500 0.250 (multiplicity 2)
Tc 0.000 0.500 0.750 (multiplicity 2)
P 0.000 0.000 0.365 (multiplicity 4)

Summary:
magnetic moment = 3.39 μB/cell
calculated total energy = -7.89 eV per atom
calculated formation energy = -0.869 eV/atom
DOS(E_F) = 3.908 states/eV/f.u.


Entry 3:
ZrSn2Sb2: relaxed, GGA-PBE.

Unit cell a=4.076 b=4.076 c=17.220 alpha=90.00 beta=90.00 gamma=90.00
Space group I4/mmm (No. 139)
Unique sites:
Zr 0.000 0.000 0.000 (multiplicity 2)
Sn 0.000 0.000 0.415 (multiplicity 4)
Sb 0.000 0.500 0.250 (multiplicity 4)

Summary:
magnetic moment = 0.00 μB/cell
calculated total energy = -4.69 eV per atom
DOS(E_F) = 3.529 states/eV/f.u.